Record 1
Computed, not measured: a relaxed BaLa2Rh2 crystal at the PBE level of DFT.

Values from the calculation:
offset from the most stable computed form: 29 meV per atom
final energy: -28.5 eV for the cell shown
calculated density: 6.98 g cm⁻³
Fermi-level density of states: 2.20 states/eV per cell

```
data_BaLa2Rh2
_chemical_formula_sum 'Ba1 La2 Rh2'
_cell_length_a 4.962
_cell_length_b 4.962
_cell_length_c 6.949
_cell_angle_alpha 69.08
_cell_angle_beta 69.08
_cell_angle_gamma 90.00
_symmetry_space_group_name_H-M 'P 1'
_symmetry_Int_Tables_number 1
loop_
_symmetry_equiv_pos_as_xyz
'x,y,z'
loop_
_atom_site_label
_atom_site_type_symbol
_atom_site_fract_x
_atom_site_fract_y
_atom_site_fract_z
Rh1 Rh 0.617 0.617 0.765
Rh2 Rh 0.383 0.383 0.235
La1 La 0.750 0.250 0.500
La2 La 0.250 0.750 0.500
Ba1 Ba 0.000 0.000 0.000
```


Record 2
Computed, not measured: a relaxed ZrHI2N crystal at the PBE level of DFT.

Values from the calculation:
offset from the most stable computed form: 782 meV per atom
final energy: -18.4 eV for the cell shown
calculated density: 6.63 g cm⁻³
Fermi-level density of states: 3.68 states/eV per cell

```
data_ZrHI2N
_chemical_formula_sum 'Zr1 H1 I2 N1'
_cell_length_a 5.217
_cell_length_b 5.217
_cell_length_c 3.315
_cell_angle_alpha 90.00
_cell_angle_beta 90.00
_cell_angle_gamma 90.00
_symmetry_space_group_name_H-M 'P 1'
_symmetry_Int_Tables_number 1
loop_
_symmetry_equiv_pos_as_xyz
'x,y,z'
loop_
_atom_site_label
_atom_site_type_symbol
_atom_site_fract_x
_atom_site_fract_y
_atom_site_fract_z
I1 I 0.500 0.000 0.000
I2 I 0.000 0.500 0.000
N1 N 0.000 0.000 0.500
Zr1 Zr 0.500 0.500 0.500
H1 H 0.000 0.000 0.000
```


Record 3
Computed, not measured: a relaxed TbPm2Er3As6 crystal at the PBE level of DFT.

Values from the calculation:
final energy: -74.0 eV for the cell shown
calculated density: 7.70 g cm⁻³
Fermi-level density of states: 1.79 states/eV per cell

```
data_TbPm2Er3As6
_chemical_formula_sum 'Tb1 Pm2 Er3 As6'
_cell_length_a 4.147
_cell_length_b 8.285
_cell_length_c 9.264
_cell_angle_alpha 102.87
_cell_angle_beta 102.93
_cell_angle_gamma 90.00
_symmetry_space_group_name_H-M 'P 1'
_symmetry_Int_Tables_number 1
loop_
_symmetry_equiv_pos_as_xyz
'x,y,z'
loop_
_atom_site_label
_atom_site_type_symbol
_atom_site_fract_x
_atom_site_fract_y
_atom_site_fract_z
As1 As 0.333 0.923 0.666
As2 As 0.667 0.077 0.334
As3 As 0.002 0.749 0.005
As4 As 0.998 0.251 0.995
As5 As 0.665 0.589 0.329
As6 As 0.335 0.411 0.671
Er1 Er 0.167 0.834 0.334
Er2 Er 0.833 0.166 0.666
Er3 Er 0.500 0.500 0.000
Pm1 Pm 0.834 0.667 0.668
Pm2 Pm 0.166 0.333 0.332
Tb1 Tb 0.500 0.000 0.000
```


Record 4
Computed, not measured: a relaxed TiCdAgGe2 crystal at the PBE level of DFT.

Values from the calculation:
final energy: -18.2 eV for the cell shown
calculated density: 5.51 g cm⁻³
Fermi-level density of states: 6.16 states/eV per cell

```
data_TiCdAgGe2
_chemical_formula_sum 'Ti1 Cd1 Ag1 Ge2'
_cell_length_a 4.888
_cell_length_b 5.219
_cell_length_c 4.888
_cell_angle_alpha 90.00
_cell_angle_beta 90.00
_cell_angle_gamma 90.00
_symmetry_space_group_name_H-M 'P 1'
_symmetry_Int_Tables_number 1
loop_
_symmetry_equiv_pos_as_xyz
'x,y,z'
loop_
_atom_site_label
_atom_site_type_symbol
_atom_site_fract_x
_atom_site_fract_y
_atom_site_fract_z
Ag1 Ag 0.000 0.500 0.000
Ge1 Ge 0.000 0.000 0.500
Ge2 Ge 0.500 0.000 0.000
Cd1 Cd 0.500 0.500 0.500
Ti1 Ti 0.000 0.000 0.000
```


Record 5
Computed, not measured: a relaxed NdMgZrGa crystal at the PBE level of DFT.

Values from the calculation:
final energy: -18.7 eV for the cell shown
calculated density: 5.91 g cm⁻³
Fermi-level density of states: 2.29 states/eV per cell

```
data_NdMgZrGa
_chemical_formula_sum 'Nd1 Mg1 Zr1 Ga1'
_cell_length_a 5.077
_cell_length_b 5.077
_cell_length_c 5.077
_cell_angle_alpha 60.00
_cell_angle_beta 60.00
_cell_angle_gamma 60.00
_symmetry_space_group_name_H-M 'P 1'
_symmetry_Int_Tables_number 1
loop_
_symmetry_equiv_pos_as_xyz
'x,y,z'
loop_
_atom_site_label
_atom_site_type_symbol
_atom_site_fract_x
_atom_site_fract_y
_atom_site_fract_z
Zr1 Zr 0.500 0.500 0.500
Nd1 Nd 0.000 0.000 0.000
Mg1 Mg 0.750 0.750 0.750
Ga1 Ga 0.250 0.250 0.250
```


Record 6
Computed, not measured: a relaxed KTa2Cd crystal at the PBE level of DFT.

Values from the calculation:
final energy: -21.6 eV for the cell shown
calculated density: 8.43 g cm⁻³
Fermi-level density of states: 3.51 states/eV per cell

```
data_KTa2Cd
_chemical_formula_sum 'K1 Ta2 Cd1'
_cell_length_a 6.621
_cell_length_b 6.621
_cell_length_c 6.621
_cell_angle_alpha 154.32
_cell_angle_beta 125.98
_cell_angle_gamma 60.75
_symmetry_space_group_name_H-M 'P 1'
_symmetry_Int_Tables_number 1
loop_
_symmetry_equiv_pos_as_xyz
'x,y,z'
loop_
_atom_site_label
_atom_site_type_symbol
_atom_site_fract_x
_atom_site_fract_y
_atom_site_fract_z
Cd1 Cd 0.528 0.528 0.000
Ta1 Ta 0.767 0.267 0.500
Ta2 Ta 0.956 0.956 0.000
K1 K 0.249 0.749 0.500
```


Record 7
Computed, not measured: a relaxed OsRh3 crystal at the PBE level of DFT.

Values from the calculation:
final energy: -31.3 eV for the cell shown
calculated density: 14.15 g cm⁻³
Fermi-level density of states: 7.43 states/eV per cell

```
data_OsRh3
_chemical_formula_sum 'Os1 Rh3'
_cell_length_a 5.105
_cell_length_b 5.105
_cell_length_c 5.105
_cell_angle_alpha 117.01
_cell_angle_beta 117.01
_cell_angle_gamma 117.01
_symmetry_space_group_name_H-M 'P 1'
_symmetry_Int_Tables_number 1
loop_
_symmetry_equiv_pos_as_xyz
'x,y,z'
loop_
_atom_site_label
_atom_site_type_symbol
_atom_site_fract_x
_atom_site_fract_y
_atom_site_fract_z
Rh1 Rh 0.500 0.500 0.000
Rh2 Rh 0.500 0.000 0.500
Rh3 Rh 0.000 0.500 0.500
Os1 Os 0.000 0.000 0.000
```


Record 8
Computed, not measured: a relaxed PrNiIr2 crystal at the PBE level of DFT.

Values from the calculation:
final energy: -28.8 eV for the cell shown
calculated density: 12.86 g cm⁻³
Fermi-level density of states: 4.91 states/eV per cell

```
data_PrNiIr2
_chemical_formula_sum 'Pr1 Ni1 Ir2'
_cell_length_a 4.273
_cell_length_b 5.010
_cell_length_c 4.322
_cell_angle_alpha 125.42
_cell_angle_beta 90.01
_cell_angle_gamma 90.00
_symmetry_space_group_name_H-M 'P 1'
_symmetry_Int_Tables_number 1
loop_
_symmetry_equiv_pos_as_xyz
'x,y,z'
loop_
_atom_site_label
_atom_site_type_symbol
_atom_site_fract_x
_atom_site_fract_y
_atom_site_fract_z
Pr1 Pr 0.500 0.500 0.000
Ir1 Ir 0.000 0.819 0.638
Ir2 Ir 0.000 0.181 0.362
Ni1 Ni 0.500 0.000 0.000
```


Record 9
Computed, not measured: a relaxed Cs4PbCl5 crystal at the PBE level of DFT.

Values from the calculation:
formation energy without anion corrections: -1.600 eV per atom
final energy: -32.4 eV for the cell shown
calculated density: 3.63 g cm⁻³
Fermi-level density of states: 1.51 states/eV per cell

```
data_Cs4PbCl5
_chemical_formula_sum 'Cs4 Pb1 Cl5'
_cell_length_a 7.224
_cell_length_b 8.434
_cell_length_c 8.434
_cell_angle_alpha 79.43
_cell_angle_beta 64.64
_cell_angle_gamma 64.64
_symmetry_space_group_name_H-M 'P 1'
_symmetry_Int_Tables_number 1
loop_
_symmetry_equiv_pos_as_xyz
'x,y,z'
loop_
_atom_site_label
_atom_site_type_symbol
_atom_site_fract_x
_atom_site_fract_y
_atom_site_fract_z
Cs1 Cs 0.409 0.387 0.800
Cs2 Cs 0.209 0.200 0.387
Cs3 Cs 0.796 0.800 0.613
Cs4 Cs 0.596 0.613 0.200
Pb1 Pb 0.000 0.000 0.000
Cl1 Cl 0.496 0.000 0.000
Cl2 Cl 0.728 0.184 0.362
Cl3 Cl 0.090 0.638 0.184
Cl4 Cl 0.275 0.816 0.638
Cl5 Cl 0.913 0.362 0.816
```


Record 10
Computed, not measured: a relaxed TiTcS4 crystal at the PBE level of DFT.

Values from the calculation:
formation energy without anion corrections: -0.591 eV per atom
final energy: -76.6 eV for the cell shown
calculated density: 4.47 g cm⁻³
Fermi-level density of states: 9.62 states/eV per cell

```
data_TiTcS4
_chemical_formula_sum 'Ti2 Tc2 S8'
_cell_length_a 5.880
_cell_length_b 5.852
_cell_length_c 5.937
_cell_angle_alpha 90.00
_cell_angle_beta 86.35
_cell_angle_gamma 90.00
_symmetry_space_group_name_H-M 'P 1'
_symmetry_Int_Tables_number 1
loop_
_symmetry_equiv_pos_as_xyz
'x,y,z'
loop_
_atom_site_label
_atom_site_type_symbol
_atom_site_fract_x
_atom_site_fract_y
_atom_site_fract_z
S1 S 0.870 0.624 0.110
S2 S 0.630 0.635 0.638
S3 S 0.130 0.865 0.638
S4 S 0.370 0.876 0.110
S5 S 0.870 0.135 0.362
S6 S 0.130 0.376 0.890
S7 S 0.370 0.365 0.362
S8 S 0.630 0.124 0.890
Tc1 Tc 0.500 0.500 0.000
Tc2 Tc 0.000 0.000 0.000
Ti1 Ti 0.500 0.000 0.500
Ti2 Ti 0.000 0.500 0.500
```


Record 11
Computed, not measured: a relaxed Ta2IrRu crystal at the PBE level of DFT.

Values from the calculation:
final energy: -43.3 eV for the cell shown
calculated density: 16.85 g cm⁻³
Fermi-level density of states: 2.38 states/eV per cell

```
data_Ta2IrRu
_chemical_formula_sum 'Ta2 Ir1 Ru1'
_cell_length_a 5.064
_cell_length_b 5.064
_cell_length_c 5.064
_cell_angle_alpha 134.74
_cell_angle_beta 134.68
_cell_angle_gamma 65.98
_symmetry_space_group_name_H-M 'P 1'
_symmetry_Int_Tables_number 1
loop_
_symmetry_equiv_pos_as_xyz
'x,y,z'
loop_
_atom_site_label
_atom_site_type_symbol
_atom_site_fract_x
_atom_site_fract_y
_atom_site_fract_z
Ru1 Ru 0.250 0.750 0.500
Ir1 Ir 0.500 0.500 0.000
Ta1 Ta 0.000 0.000 0.000
Ta2 Ta 0.750 0.250 0.500
```


Record 12
Computed, not measured: a relaxed TiNiSbTe2 crystal at the PBE level of DFT.

Values from the calculation:
offset from the most stable computed form: 141 meV per atom
formation energy without anion corrections: 0.579 eV per atom
final energy: -21.2 eV for the cell shown
calculated density: 5.59 g cm⁻³
Fermi-level density of states: 8.44 states/eV per cell

```
data_TiNiSbTe2
_chemical_formula_sum 'Ti1 Ni1 Sb1 Te2'
_cell_length_a 5.237
_cell_length_b 5.237
_cell_length_c 5.239
_cell_angle_alpha 90.00
_cell_angle_beta 90.00
_cell_angle_gamma 90.00
_symmetry_space_group_name_H-M 'P 1'
_symmetry_Int_Tables_number 1
loop_
_symmetry_equiv_pos_as_xyz
'x,y,z'
loop_
_atom_site_label
_atom_site_type_symbol
_atom_site_fract_x
_atom_site_fract_y
_atom_site_fract_z
Te1 Te 0.000 0.500 0.000
Te2 Te 0.500 0.000 0.000
Sb1 Sb 0.000 0.000 0.500
Ti1 Ti 0.000 0.000 0.000
Ni1 Ni 0.500 0.500 0.500
```